[1]
Here is a geometry-optimized HoBe3Ir structure from Alexandria. Energies are from GGA-PBE.

Computed properties:
- V: 76.9 Å³/cell
- Energy relative to the elements: -0.2875 eV/atom

Geometry as CIF:
```
data_HoBe3Ir
_cell_length_a 4.2521
_cell_length_b 4.2521
_cell_length_c 4.2521
_cell_angle_alpha 90.00
_cell_angle_beta 90.00
_cell_angle_gamma 90.00
_symmetry_space_group_name_H-M 'P m -3 m'
_symmetry_Int_Tables_number 221
_symmetry_space_group_name_Hall '-P 4 2 3'
loop_
_atom_site_label
_atom_site_fract_x
_atom_site_fract_y
_atom_site_fract_z
Ho1 0.0000 0.0000 0.0000
Be1 0.0000 0.5000 0.5000
Ir1 0.5000 0.5000 0.5000
```

=====

[2]
Here is a geometry-optimized GaAs3Pd6 structure from Alexandria. Energies are from GGA-PBE.

Computed properties:
- V: 333.0 Å³/cell
- Energy relative to the elements: -0.3863 eV/atom

Geometry as CIF:
```
data_GaAs3Pd6
_cell_length_a 10.2829
_cell_length_b 3.1422
_cell_length_c 10.3739
_cell_angle_alpha 90.00
_cell_angle_beta 96.60
_cell_angle_gamma 90.00
_symmetry_space_group_name_H-M 'P 1 21/m 1'
_symmetry_Int_Tables_number 11
loop_
_symmetry_equiv_pos_as_xyz
'x,y,z'
'-x,-y,-z'
'-x,y+1/2,-z'
'x,-y+1/2,z'
loop_
_atom_site_label
_atom_site_fract_x
_atom_site_fract_y
_atom_site_fract_z
Ga1 0.0469 0.2500 0.1934
As1 0.1981 0.2500 0.5351
As2 0.3121 0.7500 0.9508
As3 0.4005 0.2500 0.3421
Pd1 0.0421 0.7500 0.3931
Pd2 0.1132 0.2500 0.9621
Pd3 0.1810 0.7500 0.7336
Pd4 0.2449 0.7500 0.1866
Pd5 0.4087 0.2500 0.6837
Pd6 0.4584 0.2500 0.1076
```

=====

[3]
Here is a geometry-optimized Zn2InPd structure from Alexandria. Energies are from GGA-PBE.

Computed properties:
- V: 309.9 Å³/cell
- Energy relative to the elements: -0.0517 eV/atom

Geometry as CIF:
```
data_Zn2InPd
_cell_length_a 7.6556
_cell_length_b 7.6556
_cell_length_c 5.2871
_cell_angle_alpha 90.00
_cell_angle_beta 90.00
_cell_angle_gamma 90.00
_symmetry_space_group_name_H-M 'I -4 2 d'
_symmetry_Int_Tables_number 122
_symmetry_space_group_name_Hall 'I -4 2bw'
loop_
_atom_site_label
_atom_site_fract_x
_atom_site_fract_y
_atom_site_fract_z
Zn1 0.2080 0.2500 0.1250
In1 0.0000 0.0000 0.5000
Pd1 0.0000 0.0000 0.0000
```

=====

[4]
Here is a geometry-optimized Ce2SiGePt6 structure from Alexandria. Energies are from GGA-PBE.

Computed properties:
- V: 398.3 Å³/cell
- E_form (uncorrected): -0.90 eV/atom

Geometry as CIF:
```
data_Ce2SiGePt6
_cell_length_a 5.5387
_cell_length_b 8.5374
_cell_length_c 8.4238
_cell_angle_alpha 90.00
_cell_angle_beta 90.00
_cell_angle_gamma 90.00
_symmetry_space_group_name_H-M 'P m m n'
_symmetry_Int_Tables_number 59
loop_
_symmetry_equiv_pos_as_xyz
'x,y,z'
'-x,-y,-z'
'-x+1/2,-y+1/2,z'
'x+1/2,y+1/2,-z'
'x+1/2,-y,-z'
'-x+1/2,y,z'
'-x,y+1/2,-z'
'x,-y+1/2,z'
loop_
_atom_site_label
_atom_site_fract_x
_atom_site_fract_y
_atom_site_fract_z
Ce1 0.2500 0.9997 0.2325
Si1 0.2500 0.2500 0.7529
Ge1 0.2500 0.7500 0.7715
Pt1 0.0013 0.2500 0.9841
Pt2 0.0009 0.7500 0.4964
Pt3 0.2500 0.5007 0.6174
```

=====

[5]
Here is a geometry-optimized Cs2ErCrS4 structure from Alexandria. Energies are from GGA-PBE.

Computed properties:
- V: 2345.3 Å³/cell
- E_form (uncorrected): -1.20 eV/atom

Geometry as CIF:
```
data_Cs2ErCrS4
_cell_length_a 6.3977
_cell_length_b 14.2983
_cell_length_c 25.6389
_cell_angle_alpha 90.00
_cell_angle_beta 90.00
_cell_angle_gamma 90.00
_symmetry_space_group_name_H-M 'F d d d'
_symmetry_Int_Tables_number 70
loop_
_symmetry_equiv_pos_as_xyz
'x,y,z'
'-x,-y,-z'
'-x+1/4,-y+1/4,z'
'x+1/4,y+1/4,-z'
'x,-y+1/4,-z+1/4'
'-x,y+1/4,z+1/4'
'-x+1/4,y,-z+1/4'
'x+1/4,-y,z+1/4'
'x,y+1/2,z+1/2'
'-x,-y+1/2,-z+1/2'
'-x+1/4,-y+3/4,z+1/2'
'x+1/4,y+3/4,-z+1/2'
'x,-y+3/4,-z+3/4'
'-x,y+3/4,z+3/4'
'-x+1/4,y+1/2,-z+3/4'
'x+1/4,-y+1/2,z+3/4'
'x+1/2,y,z+1/2'
'-x+1/2,-y,-z+1/2'
'-x+3/4,-y+1/4,z+1/2'
'x+3/4,y+1/4,-z+1/2'
'x+1/2,-y+1/4,-z+3/4'
'-x+1/2,y+1/4,z+3/4'
'-x+3/4,y,-z+3/4'
'x+3/4,-y,z+3/4'
'x+1/2,y+1/2,z'
'-x+1/2,-y+1/2,-z'
'-x+3/4,-y+3/4,z'
'x+3/4,y+3/4,-z'
'x+1/2,-y+3/4,-z+1/4'
'-x+1/2,y+3/4,z+1/4'
'-x+3/4,y+1/2,-z+1/4'
'x+3/4,-y+1/2,z+1/4'
loop_
_atom_site_label
_atom_site_fract_x
_atom_site_fract_y
_atom_site_fract_z
Cs1 0.1250 0.1250 0.3035
Er1 0.1250 0.1250 0.1250
Cr1 0.1250 0.1250 0.6250
S1 0.0943 0.2832 0.8267
```

=====

[6]
Here is a geometry-optimized ThTiCd structure from Alexandria. Energies are from GGA-PBE.

Computed properties:
- V: 74.2 Å³/cell
- Energy relative to the elements: 0.1922 eV/atom
- Relative energy among the computed polymorphs: 0.014 eV per atom

Geometry as CIF:
```
data_ThTiCd
_cell_length_a 5.1011
_cell_length_b 5.1011
_cell_length_c 3.2936
_cell_angle_alpha 90.00
_cell_angle_beta 90.00
_cell_angle_gamma 120.00
_symmetry_space_group_name_H-M 'P 3 m 1'
_symmetry_Int_Tables_number 156
loop_
_symmetry_equiv_pos_as_xyz
'x,y,z'
'-y,x-y,z'
'-x+y,-x,z'
'-y,-x,z'
'-x+y,y,z'
'x,x-y,z'
loop_
_atom_site_label
_atom_site_fract_x
_atom_site_fract_y
_atom_site_fract_z
Th1 0.0000 0.0000 0.0000
Ti1 0.6667 0.3333 0.5009
Cd1 0.3333 0.6667 0.4986
```

=====

[7]
Here is a geometry-optimized La5Pt structure from Alexandria. Energies are from GGA-PBE.

Computed properties:
- V: 179.8 Å³/cell
- Energy relative to the elements: -0.2060 eV/atom
- Relative energy among the computed polymorphs: 0.148 eV per atom

Geometry as CIF:
```
data_La5Pt
_cell_length_a 6.1203
_cell_length_b 6.1203
_cell_length_c 5.5422
_cell_angle_alpha 90.00
_cell_angle_beta 90.00
_cell_angle_gamma 120.00
_symmetry_space_group_name_H-M 'P -6 2 m'
_symmetry_Int_Tables_number 189
_symmetry_space_group_name_Hall 'P -6 -2'
loop_
_atom_site_label
_atom_site_fract_x
_atom_site_fract_y
_atom_site_fract_z
La1 0.0000 0.7045 0.0000
La2 0.3333 0.6667 0.5000
Pt1 0.0000 0.0000 0.5000
```

=====

[8]
Here is a geometry-optimized Al2CrHgSe structure from Alexandria. Energies are from GGA-PBE.

Computed properties:
- V: 121.7 Å³/cell
- E_form (uncorrected): 0.58 eV/atom

Geometry as CIF:
```
data_Al2CrHgSe
_cell_length_a 5.0667
_cell_length_b 5.0667
_cell_length_c 4.7404
_cell_angle_alpha 90.00
_cell_angle_beta 90.00
_cell_angle_gamma 90.00
_symmetry_space_group_name_H-M 'P 4/m m m'
_symmetry_Int_Tables_number 123
_symmetry_space_group_name_Hall '-P 4 2'
loop_
_atom_site_label
_atom_site_fract_x
_atom_site_fract_y
_atom_site_fract_z
Al1 0.0000 0.5000 0.0000
Cr1 0.0000 0.0000 0.5000
Hg1 0.5000 0.5000 0.5000
Se1 0.0000 0.0000 0.0000
```

=====

[9]
Here is a geometry-optimized MnRePt6 structure from Alexandria. Energies are from GGA-PBE.

Computed properties:
- V: 122.9 Å³/cell
- Energy relative to the elements: -0.1768 eV/atom

Geometry as CIF:
```
data_MnRePt6
_cell_length_a 3.9439
_cell_length_b 3.9439
_cell_length_c 7.9024
_cell_angle_alpha 90.00
_cell_angle_beta 90.00
_cell_angle_gamma 90.00
_symmetry_space_group_name_H-M 'P 4/m m m'
_symmetry_Int_Tables_number 123
_symmetry_space_group_name_Hall '-P 4 2'
loop_
_atom_site_label
_atom_site_fract_x
_atom_site_fract_y
_atom_site_fract_z
Mn1 0.0000 0.0000 0.0000
Re1 0.0000 0.0000 0.5000
Pt1 0.0000 0.5000 0.2547
Pt2 0.5000 0.5000 0.0000
Pt3 0.5000 0.5000 0.5000
```

=====

[10]
Here is a geometry-optimized Cs2SbTeI6 structure from Alexandria. Energies are from GGA-PBE.

Computed properties:
- V: 967.4 Å³/cell
- E_form (uncorrected): -0.71 eV/atom

Geometry as CIF:
```
data_Cs2SbTeI6
_cell_length_a 8.8380
_cell_length_b 8.8380
_cell_length_c 12.3846
_cell_angle_alpha 90.00
_cell_angle_beta 90.00
_cell_angle_gamma 90.00
_symmetry_space_group_name_H-M 'I 4/m m m'
_symmetry_Int_Tables_number 139
_symmetry_space_group_name_Hall '-I 4 2'
loop_
_atom_site_label
_atom_site_fract_x
_atom_site_fract_y
_atom_site_fract_z
Cs1 0.0000 0.5000 0.2500
Sb1 0.0000 0.0000 0.0000
Te1 0.0000 0.0000 0.5000
I1 0.0000 0.0000 0.2462
I2 0.2438 0.2438 0.0000
```

=====

[11]
Here is a geometry-optimized K2RbAg2Cl7 structure from Alexandria. Energies are from GGA-PBE.

Computed properties:
- V: 686.5 Å³/cell
- E_form (uncorrected): -1.18 eV/atom

Geometry as CIF:
```
data_K2RbAg2Cl7
_cell_length_a 7.3108
_cell_length_b 7.3104
_cell_length_c 13.3531
_cell_angle_alpha 90.00
_cell_angle_beta 105.87
_cell_angle_gamma 90.00
_symmetry_space_group_name_H-M 'C 1 2/m 1'
_symmetry_Int_Tables_number 12
loop_
_symmetry_equiv_pos_as_xyz
'x,y,z'
'-x,-y,-z'
'-x,y,-z'
'x,-y,z'
'x+1/2,y+1/2,z'
'-x+1/2,-y+1/2,-z'
'-x+1/2,y+1/2,-z'
'x+1/2,-y+1/2,z'
loop_
_atom_site_label
_atom_site_fract_x
_atom_site_fract_y
_atom_site_fract_z
K1 0.1785 0.0000 0.3597
Rb1 0.0000 0.0000 0.0000
Ag1 0.0995 0.5000 0.1990
Cl1 0.0000 0.5000 0.0000
Cl2 0.1534 0.2502 0.8063
Cl3 0.1993 0.5000 0.3977
```

=====

[12]
Here is a geometry-optimized UAlAu structure from Alexandria. Energies are from GGA-PBE.

Computed properties:
- V: 492.3 Å³/cell
- Energy relative to the elements: -0.1063 eV/atom

Geometry as CIF:
```
data_UAlAu
_cell_length_a 5.4281
_cell_length_b 8.3303
_cell_length_c 10.8864
_cell_angle_alpha 90.00
_cell_angle_beta 90.00
_cell_angle_gamma 90.00
_symmetry_space_group_name_H-M 'F m m m'
_symmetry_Int_Tables_number 69
_symmetry_space_group_name_Hall '-F 2 2'
loop_
_atom_site_label
_atom_site_fract_x
_atom_site_fract_y
_atom_site_fract_z
U1 0.0000 0.1564 0.0000
Al1 0.0000 0.0000 0.3721
Au1 0.2500 0.2500 0.2500
```

=====

[13]
Here is a geometry-optimized Pm3PrTm6 structure from Alexandria. Energies are from GGA-PBE.

Computed properties:
- V: 975.5 Å³/cell
- Energy relative to the elements: 0.3076 eV/atom
- Relative energy among the computed polymorphs: 0.158 eV per atom

Geometry as CIF:
```
data_Pm3PrTm6
_cell_length_a 9.8683
_cell_length_b 9.8683
_cell_length_c 11.5665
_cell_angle_alpha 90.00
_cell_angle_beta 90.00
_cell_angle_gamma 120.00
_symmetry_space_group_name_H-M 'R 3 2'
_symmetry_Int_Tables_number 155
_symmetry_space_group_name_Hall 'R 3 2"'
loop_
_atom_site_label
_atom_site_fract_x
_atom_site_fract_y
_atom_site_fract_z
Pm1 0.0000 0.0000 0.0000
Pm2 0.0000 0.0000 0.2481
Pr1 0.0000 0.0000 0.5000
Tm1 0.0000 0.3288 0.5000
Tm2 0.0000 0.6726 0.0000
```

=====

[14]
Here is a geometry-optimized NpZnGe2 structure from Alexandria. Energies are from GGA-PBE.

Computed properties:
- V: 75.7 Å³/cell
- Energy relative to the elements: -0.1719 eV/atom

Geometry as CIF:
```
data_NpZnGe2
_cell_length_a 4.3397
_cell_length_b 4.3397
_cell_length_c 4.0201
_cell_angle_alpha 90.00
_cell_angle_beta 90.00
_cell_angle_gamma 90.00
_symmetry_space_group_name_H-M 'P 4/m m m'
_symmetry_Int_Tables_number 123
_symmetry_space_group_name_Hall '-P 4 2'
loop_
_atom_site_label
_atom_site_fract_x
_atom_site_fract_y
_atom_site_fract_z
Np1 0.0000 0.0000 0.0000
Zn1 0.5000 0.5000 0.0000
Ge1 0.0000 0.5000 0.5000
```

=====

[15]
Here is a geometry-optimized BaSiS2Cl structure from Alexandria. Energies are from GGA-PBE.

Computed properties:
- V: 201.7 Å³/cell
- Relative energy among the computed polymorphs: 1.450 eV per atom
- E_form (uncorrected): 0.31 eV/atom

Geometry as CIF:
```
data_BaSiS2Cl
_cell_length_a 5.9320
_cell_length_b 5.9320
_cell_length_c 5.7309
_cell_angle_alpha 90.00
_cell_angle_beta 90.00
_cell_angle_gamma 90.00
_symmetry_space_group_name_H-M 'P 4/m m m'
_symmetry_Int_Tables_number 123
_symmetry_space_group_name_Hall '-P 4 2'
loop_
_atom_site_label
_atom_site_fract_x
_atom_site_fract_y
_atom_site_fract_z
Ba1 0.0000 0.0000 0.0000
Si1 0.5000 0.5000 0.5000
S1 0.0000 0.5000 0.0000
Cl1 0.0000 0.0000 0.5000
```

=====

[16]
Here is a geometry-optimized Y2TcRh structure from Alexandria. Energies are from GGA-PBE.

Computed properties:
- V: 88.6 Å³/cell
- Energy relative to the elements: 0.0191 eV/atom

Geometry as CIF:
```
data_Y2TcRh
_cell_length_a 3.2030
_cell_length_b 3.2030
_cell_length_c 8.6409
_cell_angle_alpha 90.00
_cell_angle_beta 90.00
_cell_angle_gamma 90.00
_symmetry_space_group_name_H-M 'P 4 m m'
_symmetry_Int_Tables_number 99
loop_
_symmetry_equiv_pos_as_xyz
'x,y,z'
'-y,x,z'
'-x,-y,z'
'y,-x,z'
'-x,y,z'
'y,x,z'
'x,-y,z'
'-y,-x,z'
loop_
_atom_site_label
_atom_site_fract_x
_atom_site_fract_y
_atom_site_fract_z
Y1 0.0000 0.0000 0.0000
Y2 0.5000 0.5000 0.3704
Tc1 0.5000 0.5000 0.7644
Rh1 0.0000 0.0000 0.6072
```

=====

[17]
Here is a geometry-optimized Rb2PaAu2S6 structure from Alexandria. Energies are from GGA-PBE.

Computed properties:
- V: 661.0 Å³/cell
- E_form (uncorrected): -0.74 eV/atom

Geometry as CIF:
```
data_Rb2PaAu2S6
_cell_length_a 13.4507
_cell_length_b 6.5553
_cell_length_c 8.5465
_cell_angle_alpha 90.00
_cell_angle_beta 118.70
_cell_angle_gamma 90.00
_symmetry_space_group_name_H-M 'C 1 2/m 1'
_symmetry_Int_Tables_number 12
loop_
_symmetry_equiv_pos_as_xyz
'x,y,z'
'-x,-y,-z'
'-x,y,-z'
'x,-y,z'
'x+1/2,y+1/2,z'
'-x+1/2,-y+1/2,-z'
'-x+1/2,y+1/2,-z'
'x+1/2,-y+1/2,z'
loop_
_atom_site_label
_atom_site_fract_x
_atom_site_fract_y
_atom_site_fract_z
Rb1 0.1999 0.0000 0.1821
Pa1 0.0000 0.0000 0.5000
Au1 0.0937 0.5000 0.3097
S1 0.0519 0.2542 0.7726
S2 0.2157 0.0000 0.6011
```

=====

[18]
Here is a geometry-optimized BaAgSnTe3 structure from Alexandria. Energies are from GGA-PBE.

Computed properties:
- V: 411.8 Å³/cell
- E_form (uncorrected): -0.67 eV/atom

Geometry as CIF:
```
data_BaAgSnTe3
_cell_length_a 9.3763
_cell_length_b 4.5597
_cell_length_c 9.9427
_cell_angle_alpha 90.00
_cell_angle_beta 104.35
_cell_angle_gamma 90.00
_symmetry_space_group_name_H-M 'P 1 21/m 1'
_symmetry_Int_Tables_number 11
loop_
_symmetry_equiv_pos_as_xyz
'x,y,z'
'-x,-y,-z'
'-x,y+1/2,-z'
'x,-y+1/2,z'
loop_
_atom_site_label
_atom_site_fract_x
_atom_site_fract_y
_atom_site_fract_z
Ba1 0.1834 0.2500 0.2503
Ag1 0.0702 0.2500 0.5821
Sn1 0.3377 0.7500 0.8630
Te1 0.1140 0.2500 0.8800
Te2 0.2438 0.7500 0.5380
Te3 0.4450 0.7500 0.1767
```

=====

[19]
Here is a geometry-optimized InBi2Pd5 structure from Alexandria. Energies are from GGA-PBE.

Computed properties:
- V: 305.4 Å³/cell
- Energy relative to the elements: -0.3041 eV/atom

Geometry as CIF:
```
data_InBi2Pd5
_cell_length_a 4.7980
_cell_length_b 4.7980
_cell_length_c 13.2647
_cell_angle_alpha 90.00
_cell_angle_beta 90.00
_cell_angle_gamma 90.00
_symmetry_space_group_name_H-M 'I 4/m m m'
_symmetry_Int_Tables_number 139
_symmetry_space_group_name_Hall '-I 4 2'
loop_
_atom_site_label
_atom_site_fract_x
_atom_site_fract_y
_atom_site_fract_z
In1 0.0000 0.0000 0.0000
Bi1 0.0000 0.0000 0.2666
Pd1 0.0000 0.0000 0.5000
Pd2 0.0000 0.5000 0.1127
```

=====

[20]
Here is a geometry-optimized AgWC2 structure from Alexandria. Energies are from GGA-PBE.

Computed properties:
- V: 233.5 Å³/cell
- Energy relative to the elements: 0.9923 eV/atom
- Relative energy among the computed polymorphs: 0.000 eV per atom

Geometry as CIF:
```
data_AgWC2
_cell_length_a 4.9785
_cell_length_b 4.9785
_cell_length_c 9.4211
_cell_angle_alpha 90.00
_cell_angle_beta 90.00
_cell_angle_gamma 90.00
_symmetry_space_group_name_H-M 'I -4 2 d'
_symmetry_Int_Tables_number 122
_symmetry_space_group_name_Hall 'I -4 2bw'
loop_
_atom_site_label
_atom_site_fract_x
_atom_site_fract_y
_atom_site_fract_z
Ag1 0.0000 0.0000 0.0000
W1 0.0000 0.0000 0.5000
C1 0.1969 0.2500 0.6250
```